A | Entry from Alexandria: a geometry-optimized Ba3In4Ag2 structure (GGA-PBE).

## Properties
Density of states at the Fermi level in states/eV per cell: 12.61
Size of the total moment in μB/f.u.: 0.00

abc: 11.667 5.221 10.013
angles: 90.00 102.46 90.00
Space group C2/m (No. 12)
Inequivalent atoms, fractional coordinates:
Ba: 0.000 0.000 0.000 (multiplicity 2)
Ba: 0.118 0.500 0.696 (multiplicity 4)
In: 0.110 0.000 0.425 (multiplicity 4)
In: 0.216 0.500 0.072 (multiplicity 4)
Ag: 0.182 0.500 0.342 (multiplicity 4)

***

B | Entry from Alexandria: a geometry-optimized Ba3In4Ag2 structure (GGA-PBE).

## Properties
Density of states at the Fermi level in states/eV per cell: 12.79
Size of the total moment in μB/f.u.: 0.00

abc: 12.435 5.085 9.939
angles: 90.00 111.92 90.00
Space group C2/m (No. 12)
Inequivalent atoms, fractional coordinates:
Ba: 0.000 0.000 0.000 (multiplicity 2)
Ba: 0.184 0.500 0.644 (multiplicity 4)
In: 0.016 0.000 0.356 (multiplicity 4)
In: 0.243 0.500 0.082 (multiplicity 4)
Ag: 0.091 0.500 0.264 (multiplicity 4)

***

Stability verdict: B, ahead by 0.039 eV/atom

***

A | Entry from Alexandria: a geometry-optimized BaIn6Ag4 structure (GGA-PBE).

## Properties
Density of states at the Fermi level in states/eV per cell: 4.94
Size of the total moment in μB/f.u.: 0.00

abc: 8.1909 8.1909 4.6819
angles: 90.00 90.00 120.00
Space group P-6m2 (No. 187)
Inequivalent atoms, fractional coordinates:
Ba: 0.0000 0.0000 0.0000 (multiplicity 1)
In: 0.0710 0.5355 0.0000 (multiplicity 3)
In: 0.4007 0.2004 0.5000 (multiplicity 3)
Ag: 0.2092 0.4184 0.5000 (multiplicity 3)
Ag: 0.6667 0.3333 0.0000 (multiplicity 1)

***

B | Entry from Alexandria: a geometry-optimized BaIn6Ag4 structure (GGA-PBE).

## Properties
Density of states at the Fermi level in states/eV per cell: 9.18
Size of the total moment in μB/f.u.: 0.00

abc: 7.421 7.421 10.405
angles: 90.00 90.00 90.00
Space group I-42m (No. 121)
Inequivalent atoms, fractional coordinates:
Ba: 0.000 0.000 0.000 (multiplicity 2)
In: 0.000 0.500 0.000 (multiplicity 4)
In: 0.203 0.203 0.305 (multiplicity 8)
Ag: 0.157 0.157 0.586 (multiplicity 8)

***

Stability verdict: A, ahead by 0.084 eV/atom